A geometry-optimized ErMo4 structure. Source: Alexandria, functional PBE.

Calculated values
magnetic moment	0.000	μB per formula unit
total energy	-6.979	eV/atom
formation energy from the elements	251	kJ per mole of atoms

a b c (Å): 4.6786 4.6786 4.6786
angles (deg): 90.00 90.00 90.00
Fractional positions:
Er  0.0000  0.0000  0.0000
Mo  0.0000  0.0000  0.5000
Mo  0.0000  0.5000  0.0000
Mo  0.5000  0.0000  0.0000
Mo  0.5000  0.5000  0.5000